Here is an optimized crystal structure of MnAgBiF6 from Alexandria. Energies are from PBE with a Hubbard U.

```
MnAgBiF6
1.0
6.012 0.000 0.000
-3.006 5.207 0.000
0.000 0.000 9.699
Mn Ag Bi F
2 2 2 12
direct
0.333 0.667 0.250 Mn
0.667 0.333 0.750 Mn
0.000 0.000 0.000 Ag
0.000 0.000 0.500 Ag
0.333 0.667 0.750 Bi
0.667 0.333 0.250 Bi
0.018 0.370 0.135 F
0.018 0.647 0.365 F
0.353 0.370 0.365 F
0.353 0.982 0.135 F
0.370 0.018 0.635 F
0.370 0.353 0.865 F
0.630 0.647 0.135 F
0.630 0.982 0.365 F
0.647 0.018 0.865 F
0.647 0.630 0.635 F
0.982 0.353 0.635 F
0.982 0.630 0.865 F
```

Summary:
The uncorrected energy comes out at -4.99 eV/atom.

Here is an optimized crystal structure of MnAg2BiF6 from Alexandria. Energies are from PBE with a Hubbard U.

```
MnAg2BiF6
1.0
3.205 1.850 4.268
-3.205 1.850 4.268
0.000 -3.701 4.268
Mn Ag Bi F
1 2 1 6
direct
0.000 0.000 0.000 Mn
0.264 0.264 0.264 Ag
0.736 0.736 0.736 Ag
0.500 0.500 0.500 Bi
0.127 0.806 0.353 F
0.194 0.647 0.873 F
0.353 0.127 0.806 F
0.647 0.873 0.194 F
0.806 0.353 0.127 F
0.873 0.194 0.647 F
```

Summary:
The uncorrected energy comes out at -4.60 eV/atom.